(1)
5
Lattice="4.090 0.000 0.000 0.000 5.057 0.000 0.000 0.000 5.057" Properties=species:S:1:pos:R:3 comment="BeBTe2Ru PBEsol optimized geometry" n_ef_per_ev_cell=3.0 raw_formation_energy_ev_per_atom=1.230 total_energy_ev_per_atom=-4.418 vol_a3_per_cell=105 pbc="T T T"
Ru 0.000 0.000 0.000
B 2.045 2.529 2.529
Te 0.000 0.000 2.529
Te 0.000 2.529 0.000
Be 2.045 0.000 0.000

(2)
5
Lattice="3.628 0.000 0.000 0.000 3.628 0.000 0.000 0.000 6.258" Properties=species:S:1:pos:R:3 comment="TiAlNiO2 PBEsol optimized geometry" n_ef_per_ev_cell=3.0 raw_formation_energy_ev_per_atom=-0.842 total_energy_ev_per_atom=-6.656 vol_a3_per_cell=82 pbc="T T T"
Ni 1.814 1.814 3.129
Al 0.000 0.000 3.129
O 0.000 1.814 0.000
O 1.814 0.000 0.000
Ti 0.000 0.000 0.000

Repeat the second record exactly.
5
Lattice="3.628 0.000 0.000 0.000 3.628 0.000 0.000 0.000 6.258" Properties=species:S:1:pos:R:3 comment="TiAlNiO2 PBEsol optimized geometry" n_ef_per_ev_cell=3.0 raw_formation_energy_ev_per_atom=-0.842 total_energy_ev_per_atom=-6.656 vol_a3_per_cell=82 pbc="T T T"
Ni 1.814 1.814 3.129
Al 0.000 0.000 3.129
O 0.000 1.814 0.000
O 1.814 0.000 0.000
Ti 0.000 0.000 0.000